Entry 1:
First-principles (meta-GGA SCAN) data for a crystal of Al2ZnAg relaxed with PBEsol, as listed in Alexandria via LeMat-Bulk.

Lattice parameters (Å, degrees): 9.297 2.968 4.621 90.00 95.96 90.00
Atoms (fractional coordinates):
Al (0.000, 0.000, 0.000)
Al (0.250, 0.000, 0.735)
Al (0.500, 0.500, 0.000)
Al (0.750, 0.500, 0.735)
Zn (0.498, 0.000, 0.501)
Zn (0.998, 0.500, 0.501)
Ag (0.247, 0.500, 0.239)
Ag (0.747, 0.000, 0.239)

For the formation energy, the calculation gives -0.029 eV/atom. The calculation puts the spin magnetization at 0.003 μB/f.u.

Entry 2:
First-principles (meta-GGA SCAN) data for a crystal of AlZn2Ag relaxed with PBEsol, as listed in Alexandria via LeMat-Bulk.

Lattice parameters (Å, degrees): 3.364 3.364 5.416 90.00 90.00 90.00
Atoms (fractional coordinates):
Al (0.000, 0.000, 0.000)
Zn (0.000, 0.000, 0.486)
Zn (0.500, 0.500, 0.253)
Ag (0.500, 0.500, 0.750)

For the formation energy, the calculation gives -0.019 eV/atom. The calculation puts the spin magnetization at 0.000 μB/f.u.

Entry 3:
First-principles (meta-GGA SCAN) data for a crystal of AlZn2Ag relaxed with PBEsol, as listed in Alexandria via LeMat-Bulk.

Lattice parameters (Å, degrees): 2.751 4.587 9.810 90.00 90.00 90.00
Atoms (fractional coordinates):
Al (0.000, 0.000, 0.000)
Al (0.500, 0.500, 0.500)
Zn (0.000, 0.500, 0.247)
Zn (0.000, 0.500, 0.753)
Zn (0.500, 0.000, 0.253)
Zn (0.500, 0.000, 0.747)
Ag (0.000, 0.000, 0.500)
Ag (0.500, 0.500, 0.000)

For the formation energy, the calculation gives 0.016 eV/atom. The calculation puts the spin magnetization at 0.000 μB/f.u.

Entry 4:
First-principles (meta-GGA SCAN) data for a crystal of Al2ZnAg relaxed with PBEsol, as listed in Alexandria via LeMat-Bulk.

Lattice parameters (Å, degrees): 5.481 7.893 2.933 90.00 90.00 90.00
Atoms (fractional coordinates):
Al (0.250, 0.250, 0.000)
Al (0.250, 0.750, 0.000)
Al (0.750, 0.250, 0.000)
Al (0.750, 0.750, 0.000)
Zn (0.000, 0.000, 0.500)
Zn (0.500, 0.500, 0.500)
Ag (0.000, 0.500, 0.500)
Ag (0.500, 0.000, 0.500)

For the formation energy, the calculation gives -0.016 eV/atom. The calculation puts the spin magnetization at 0.000 μB/f.u.